Hf2PdPt3 (GGA-PBE, optimized geometry); magnetic moment = 0.0 μB per formula unit; E above lowest polymorph = 0.000 eV/atom; D(E_F) = 3.6 states/eV/cell
1.0
4.181 0.000 0.000
0.000 5.678 0.000
0.000 0.000 8.639
Pt Hf Pd
6 4 2
direct
0.000 0.888 0.014
0.000 0.388 0.986
0.000 0.343 0.323
0.500 0.156 0.820
0.500 0.656 0.180
0.000 0.843 0.677
0.000 0.840 0.355
0.000 0.340 0.645
0.500 0.661 0.855
0.500 0.161 0.145
0.500 0.112 0.488
0.500 0.612 0.512